Entry 1:
Here is a relaxed structure of Y2TlO from Alexandria via LeMat-Bulk. Energies are from PBE.

Unit cell a=6.9560 b=6.9560 c=8.0492 alpha=90.00 beta=90.00 gamma=90.00
Space group I-42d (No. 122)
Asymmetric unit:
Y (0.1418, 0.2500, 0.1250) (multiplicity 8)
Tl (0.0000, 0.0000, 0.5000) (multiplicity 4)
O (0.0000, 0.0000, 0.0000) (multiplicity 4)

Output
DOS(E_F) = 19.86 states/eV per cell
magnetic moment = 0.000 μB per formula unit
distance to the lowest polymorph of the same formula = 128 meV per atom



Entry 2:
Here is a relaxed structure of Y2Tl2O from Alexandria via LeMat-Bulk. Energies are from PBE.

Unit cell a=6.5457 b=6.5457 c=5.6265 alpha=90.00 beta=90.00 gamma=90.00
Space group P4/mbm (No. 127)
Asymmetric unit:
Y (0.1810, 0.3190, 0.0000) (multiplicity 4)
Tl (0.1591, 0.6591, 0.5000) (multiplicity 4)
O (0.0000, 0.0000, 0.0000) (multiplicity 2)

Output
DOS(E_F) = 3.46 states/eV per cell
magnetic moment = 0.000 μB per formula unit



Entry 3:
Here is a relaxed structure of Y2TlO from Alexandria via LeMat-Bulk. Energies are from PBE.

Unit cell a=6.4224 b=6.4225 c=8.8125 alpha=90.00 beta=90.14 gamma=90.00
Space group C2/m (No. 12)
Asymmetric unit:
Y (0.0000, 0.2500, 0.0000) (multiplicity 4)
Y (0.2491, 0.0000, 0.6699) (multiplicity 4)
Tl (0.2490, 0.5000, 0.6971) (multiplicity 4)
O (0.2496, 0.0000, 0.9298) (multiplicity 4)

Output
DOS(E_F) = 14.47 states/eV per cell
magnetic moment = 0.000 μB per formula unit
distance to the lowest polymorph of the same formula = 0 meV per atom



Entry 4:
Here is a relaxed structure of YTlO2 from Alexandria via LeMat-Bulk. Energies are from PBE.

Unit cell a=3.5202 b=3.5202 c=20.3004 alpha=90.00 beta=90.00 gamma=120.00
Space group R3m (No. 160, hexagonal axes)
Asymmetric unit:
Y (0.0000, 0.0000, 0.0000) (multiplicity 3)
Tl (0.0000, 0.0000, 0.8198) (multiplicity 3)
O (0.0000, 0.0000, 0.3986) (multiplicity 3)
O (0.0000, 0.0000, 0.6212) (multiplicity 3)

Output
DOS(E_F) = 0.00 states/eV per cell
magnetic moment = 0.000 μB per formula unit
distance to the lowest polymorph of the same formula = 11 meV per atom



Entry 5:
Here is a relaxed structure of Y2TlO from Alexandria via LeMat-Bulk. Energies are from PBE.

Unit cell a=3.1621 b=3.1621 c=7.9164 alpha=90.00 beta=90.00 gamma=90.00
Space group P4/mmm (No. 123)
Asymmetric unit:
Y (0.0000, 0.0000, 0.1962) (multiplicity 2)
Tl (0.5000, 0.5000, 0.5000) (multiplicity 1)
O (0.5000, 0.5000, 0.0000) (multiplicity 1)

Output
DOS(E_F) = 2.43 states/eV per cell
magnetic moment = 0.997 μB per formula unit
distance to the lowest polymorph of the same formula = 572 meV per atom



Entry 6:
Here is a relaxed structure of Y2TlO from Alexandria via LeMat-Bulk. Energies are from PBE.

Unit cell a=7.1373 b=7.1373 c=7.1373 alpha=90.00 beta=90.00 gamma=90.00
Space group Fm-3m (No. 225)
Asymmetric unit:
Y (0.2500, 0.2500, 0.2500) (multiplicity 8)
Tl (0.0000, 0.0000, 0.0000) (multiplicity 4)
O (0.0000, 0.0000, 0.5000) (multiplicity 4)

Output
DOS(E_F) = 28.08 states/eV per cell
magnetic moment = 0.000 μB per formula unit
distance to the lowest polymorph of the same formula = 1129 meV per atom



Entry 7:
Here is a relaxed structure of YTlO3 from Alexandria via LeMat-Bulk. Energies are from PBE.

Unit cell a=4.2298 b=4.2298 c=4.2298 alpha=90.00 beta=90.00 gamma=90.00
Space group Pm-3m (No. 221)
Asymmetric unit:
Y (0.0000, 0.0000, 0.0000) (multiplicity 1)
Tl (0.5000, 0.5000, 0.5000) (multiplicity 1)
O (0.0000, 0.5000, 0.5000) (multiplicity 3)

Output
DOS(E_F) = 0.16 states/eV per cell
magnetic moment = 0.000 μB per formula unit



Entry 8:
Here is a relaxed structure of Y3TlO6 from Alexandria via LeMat-Bulk. Energies are from PBE.

Unit cell a=9.7048 b=9.7048 c=11.3621 alpha=90.00 beta=90.00 gamma=120.00
Space group R-3 (No. 148, hexagonal axes)
Asymmetric unit:
Y (0.0401, 0.7747, 0.2079) (multiplicity 18)
Tl (0.0000, 0.0000, 0.0000) (multiplicity 3)
Tl (0.0000, 0.0000, 0.5000) (multiplicity 3)
O (0.0255, 0.8036, 0.4024) (multiplicity 18)
O (0.0285, 0.8399, 0.8673) (multiplicity 18)

Output
DOS(E_F) = 0.00 states/eV per cell
magnetic moment = 0.000 μB per formula unit
distance to the lowest polymorph of the same formula = 0 meV per atom



| no. | ΔE_f (raw) (eV/atom) | uncorrected energy (eV per atom) |
| --- | --- | --- |
| 1 | -1.492 | -6.555 |
| 2 | -1.090 | -5.613 |
| 3 | -1.620 | -6.683 |
| 4 | -2.332 | -7.019 |
| 5 | -1.048 | -6.111 |
| 6 | -0.491 | -5.554 |
| 7 | -1.186 | -5.927 |
| 8 | -2.804 | -7.955 |